(1)
Y2MgTi (PBE, relaxed); energy of formation from the pure elements = 0.6138 eV per atom; uncorrected energy = -4.991 eV/atom; size of the total moment = 2.20 μB per formula unit
1.0
-2.235 2.235 11.090
2.235 -2.235 11.090
2.235 2.235 -11.090
Y Mg Ti
4 2 2
Cartesian
3.352 1.105 -2.772
1.105 1.117 2.772
-1.117 1.130 8.317
1.130 1.117 13.862
2.235 0.000 5.545
0.000 0.000 11.090
0.000 0.000 0.000
0.000 2.235 5.545

***

(2)
ZrPd2Rh (PBE, relaxed); energy of formation from the pure elements = -0.7407 eV per atom; uncorrected energy = -7.312 eV/atom; size of the total moment = 0.00 μB per formula unit
1.0
3.970 0.000 0.000
0.000 3.970 0.000
0.000 0.000 4.090
Zr Pd Rh
1 2 1
Cartesian
0.000 0.000 0.000
0.000 1.985 2.045
1.985 0.000 2.045
1.985 1.985 0.000

***

(3)
ZnGa6 (PBE, relaxed); energy of formation from the pure elements = 0.3759 eV per atom; distance to the lowest polymorph of the same formula = 298 meV/atom; uncorrected energy = -2.401 eV/atom; size of the total moment = 0.00 μB per formula unit
1.0
-3.597 3.597 3.597
3.597 -3.597 3.597
3.597 3.597 -3.597
Zn Ga
1 6
Cartesian
0.000 0.000 0.000
3.597 1.798 0.000
3.597 0.000 1.798
1.798 3.597 0.000
1.798 0.000 3.597
0.000 3.597 1.798
0.000 1.798 3.597

***

(4)
ZrCr3Ni (PBE, relaxed); energy of formation from the pure elements = 2.2442 eV per atom; distance to the lowest polymorph of the same formula = 1295 meV/atom; uncorrected energy = -6.396 eV/atom; size of the total moment = 0.00 μB per formula unit
1.0
4.453 0.000 0.000
0.000 4.453 0.000
0.000 0.000 4.453
Zr Cr Ni
1 3 1
Cartesian
0.000 0.000 0.000
0.000 0.000 2.227
0.000 2.227 0.000
2.227 0.000 0.000
2.227 2.227 2.227

***

(5)
MgAl2Sn2Rh5 (PBE, relaxed); energy of formation from the pure elements = -0.4528 eV per atom; uncorrected energy = -5.837 eV/atom; size of the total moment = 0.00 μB per formula unit
1.0
9.615 0.000 0.000
0.000 9.615 0.000
0.000 0.000 3.507
Mg Al Sn Rh
2 4 4 10
Cartesian
0.000 0.000 0.000
4.808 4.808 0.000
1.233 3.574 0.000
3.574 8.382 0.000
6.041 1.233 0.000
8.382 6.041 0.000
1.652 6.460 0.000
3.155 1.652 0.000
6.460 7.963 0.000
7.963 3.155 0.000
0.000 4.808 1.753
0.861 1.887 1.753
1.887 8.754 1.753
2.920 3.946 1.753
3.946 6.695 1.753
4.808 0.000 1.753
5.669 2.920 1.753
6.695 5.669 1.753
7.728 0.861 1.753
8.754 7.728 1.753

***

(6)
TlP2Br (PBE, relaxed); E_form (uncorrected) = 59.63 kJ/mol of atoms; distance to the lowest polymorph of the same formula = 737 meV/atom; uncorrected energy = -3.097 eV/atom; size of the total moment = 0.00 μB per formula unit
1.0
2.019 1.166 6.602
-2.019 1.166 6.602
0.000 -2.331 6.602
Tl P Br
1 2 1
Cartesian
0.000 0.000 0.000
0.000 0.000 5.200
0.000 0.000 14.607
0.000 0.000 9.903

***

(7)
Ac2Zn3InGe4 (PBE, relaxed); energy of formation from the pure elements = -0.3713 eV per atom; uncorrected energy = -3.696 eV/atom; size of the total moment = 0.00 μB per formula unit
1.0
4.742 0.000 0.000
0.000 4.742 0.000
0.000 0.000 10.091
Ac Zn In Ge
2 3 1 4
Cartesian
0.000 2.371 2.357
2.371 0.000 7.734
0.000 2.371 8.954
2.371 0.000 1.137
2.371 2.371 5.046
0.000 0.000 5.046
0.000 0.000 0.000
0.000 2.371 6.454
2.371 0.000 3.638
2.371 2.371 0.000

***

(8)
In6HgPb12 (PBE, relaxed); energy of formation from the pure elements = 0.0143 eV per atom; uncorrected energy = -3.208 eV/atom; size of the total moment = 0.00 μB per formula unit
1.0
7.552 4.360 2.886
-7.552 4.360 2.886
0.000 -8.720 2.886
In Hg Pb
6 1 12
Cartesian
-1.914 -0.204 1.443
1.134 -1.555 1.443
0.780 1.760 1.443
-0.780 -1.760 7.214
-1.134 1.555 7.214
1.914 0.204 7.214
0.000 0.000 4.329
-5.986 -0.717 4.371
-2.372 -5.543 4.286
-2.763 -2.048 4.317
-3.155 1.369 4.341
0.392 -3.417 4.341
-3.614 4.826 4.286
3.614 -4.826 4.371
-0.392 3.417 4.317
3.155 -1.369 4.317
2.763 2.048 4.341
2.372 5.543 4.371
5.986 0.717 4.286

***

(9)
LuSc2Fe (PBE, relaxed); energy of formation from the pure elements = 0.4676 eV per atom; distance to the lowest polymorph of the same formula = 493 meV/atom; uncorrected energy = -5.944 eV/atom; size of the total moment = 1.16 μB per formula unit
1.0
1.600 0.924 10.047
-1.600 0.924 10.047
0.000 -1.848 10.047
Lu Sc Fe
1 2 1
Cartesian
0.000 0.000 0.000
0.000 0.000 12.831
0.000 0.000 17.311
0.000 0.000 15.071

***

(10)
NaPtI2Cl (PBE, relaxed); E_form (uncorrected) = 72.91 kJ/mol of atoms; uncorrected energy = -1.706 eV/atom; size of the total moment = 2.05 μB per formula unit
1.0
5.722 0.000 0.000
0.000 5.722 0.000
0.000 0.000 5.273
Na Pt I Cl
1 1 2 1
Cartesian
0.000 0.000 0.000
0.000 0.000 2.636
0.000 2.861 0.000
2.861 0.000 0.000
2.861 2.861 2.636

***

(11)
CsNp2Ag2Se6 (PBE, relaxed); E_form (uncorrected) = -71.57 kJ/mol of atoms; uncorrected energy = -5.591 eV/atom; size of the total moment = 5.00 μB per formula unit
1.0
7.591 0.000 0.000
3.642 6.687 0.000
3.463 1.919 7.082
Cs Np Ag Se
1 2 2 6
Cartesian
0.000 0.000 0.000
7.194 4.162 7.054
7.502 4.444 0.029
7.700 5.765 3.964
6.996 2.842 3.118
5.533 5.727 5.425
5.225 3.995 1.608
8.012 6.735 1.622
6.684 1.871 5.461
9.470 4.612 5.474
9.162 2.879 1.657

***

(12)
Tb2ScGa (PBE, relaxed); energy of formation from the pure elements = -0.1463 eV per atom; distance to the lowest polymorph of the same formula = 108 meV/atom; uncorrected energy = -4.801 eV/atom; size of the total moment = 0.90 μB per formula unit
1.0
0.000 3.689 3.689
3.689 0.000 3.689
3.689 3.689 0.000
Tb Sc Ga
2 1 1
Cartesian
1.845 1.845 1.845
5.534 5.534 5.534
0.000 0.000 0.000
3.689 3.689 3.689